Entry from Alexandria via LeMat-Bulk: an optimized crystal structure of MnAsRuCl2 (PBE).

Output
- Formation energy without anion corrections: 0.6184 eV/atom

```
data_MnAsRuCl2
_chemical_formula_sum 'Mn1 As1 Ru1 Cl2'
_cell_length_a 4.3606
_cell_length_b 4.3606
_cell_length_c 5.5651
_cell_angle_alpha 90.00
_cell_angle_beta 90.00
_cell_angle_gamma 90.00
_symmetry_space_group_name_H-M 'P 1'
_symmetry_Int_Tables_number 1
_symmetry_space_group_name_Hall 'P 1'
loop_
_atom_site_label
_atom_site_fract_x
_atom_site_fract_y
_atom_site_fract_z
_atom_site_occupancy
Mn1 0.0000 0.0000 0.0000 1
As1 0.5000 0.5000 0.5000 1
Ru1 0.0000 0.0000 0.5000 1
Cl1 0.0000 0.5000 0.0000 1
Cl2 0.5000 0.0000 0.0000 1
```

---

Entry from Alexandria via LeMat-Bulk: an optimized crystal structure of MnAsS2Cl (PBE).

Output
- Offset from the most stable computed form: 0 kJ/mol of formula units
- Formation energy without anion corrections: 0.3258 eV/atom

```
data_MnAsS2Cl
_chemical_formula_sum 'Mn1 As1 S2 Cl1'
_cell_length_a 4.8637
_cell_length_b 4.8637
_cell_length_c 4.7331
_cell_angle_alpha 90.00
_cell_angle_beta 90.00
_cell_angle_gamma 90.00
_symmetry_space_group_name_H-M 'P 1'
_symmetry_Int_Tables_number 1
_symmetry_space_group_name_Hall 'P 1'
loop_
_atom_site_label
_atom_site_fract_x
_atom_site_fract_y
_atom_site_fract_z
_atom_site_occupancy
Mn1 0.0000 0.0000 0.0000 1
As1 0.5000 0.5000 0.5000 1
S1 0.0000 0.5000 0.5000 1
S2 0.5000 0.0000 0.5000 1
Cl1 0.5000 0.5000 0.0000 1
```

---

Entry from Alexandria via LeMat-Bulk: an optimized crystal structure of MnAsS2Cl (PBE).

Output
- Offset from the most stable computed form: 12 kJ/mol of formula units
- Formation energy without anion corrections: 0.3516 eV/atom

```
data_MnAsS2Cl
_chemical_formula_sum 'Mn1 As1 S2 Cl1'
_cell_length_a 4.4530
_cell_length_b 4.4530
_cell_length_c 4.5342
_cell_angle_alpha 90.00
_cell_angle_beta 90.00
_cell_angle_gamma 90.00
_symmetry_space_group_name_H-M 'P 1'
_symmetry_Int_Tables_number 1
_symmetry_space_group_name_Hall 'P 1'
loop_
_atom_site_label
_atom_site_fract_x
_atom_site_fract_y
_atom_site_fract_z
_atom_site_occupancy
Mn1 0.0000 0.0000 0.0000 1
As1 0.5000 0.5000 0.5000 1
S1 0.0000 0.5000 0.0000 1
S2 0.5000 0.0000 0.0000 1
Cl1 0.0000 0.0000 0.5000 1
```